[1]
The following is a PBE calculation of Sn2Te2Pb after structural relaxation, from Alexandria via LeMat-Bulk.

CIF file:
```
data_Sn2Te2Pb
_cell_length_a 8.7562
_cell_length_b 8.7562
_cell_length_c 4.1601
_cell_angle_alpha 90.00
_cell_angle_beta 90.00
_cell_angle_gamma 90.00
_symmetry_space_group_name_H-M 'P 4/m b m'
_symmetry_Int_Tables_number 127
_symmetry_space_group_name_Hall '-P 4 2ab'
loop_
_atom_site_label
_atom_site_type_symbol
_atom_site_fract_x
_atom_site_fract_y
_atom_site_fract_z
Sn1 Sn 0.1562 0.3438 0.0000
Te1 Te 0.1581 0.6581 0.5000
Pb1 Pb 0.0000 0.0000 0.5000
```

Formation energy from raw total energies, meV/atom: -59
Energy, eV/atom: -3.66

=====

[2]
The following is a PBE calculation of Li2YCu after structural relaxation, from Alexandria via LeMat-Bulk.

CIF file:
```
data_Li2YCu
_cell_length_a 3.1875
_cell_length_b 3.1875
_cell_length_c 28.0277
_cell_angle_alpha 90.00
_cell_angle_beta 90.00
_cell_angle_gamma 120.00
_symmetry_space_group_name_H-M 'R -3 m'
_symmetry_Int_Tables_number 166
_symmetry_space_group_name_Hall '-R 3 2"'
loop_
_atom_site_label
_atom_site_type_symbol
_atom_site_fract_x
_atom_site_fract_y
_atom_site_fract_z
Li1 Li 0.0000 0.0000 0.2324
Y1 Y 0.0000 0.0000 0.0000
Cu1 Cu 0.0000 0.0000 0.5000
```

Formation energy, kJ/mol of formula units: 86
Energy, eV/atom: -3.37

=====

[3]
The following is a PBE calculation of Ba2GeIBr after structural relaxation, from Alexandria via LeMat-Bulk.

CIF file:
```
data_Ba2GeIBr
_cell_length_a 6.3547
_cell_length_b 6.3547
_cell_length_c 5.1582
_cell_angle_alpha 90.00
_cell_angle_beta 90.00
_cell_angle_gamma 90.00
_symmetry_space_group_name_H-M 'P 4/m m m'
_symmetry_Int_Tables_number 123
_symmetry_space_group_name_Hall '-P 4 2'
loop_
_atom_site_label
_atom_site_type_symbol
_atom_site_fract_x
_atom_site_fract_y
_atom_site_fract_z
Ba1 Ba 0.0000 0.5000 0.0000
Ge1 Ge 0.0000 0.0000 0.5000
I1 I 0.5000 0.5000 0.5000
Br1 Br 0.0000 0.0000 0.0000
```

Formation energy from raw total energies, meV/atom: -661
Energy, eV/atom: -3.00

=====

[4]
The following is a PBE calculation of Mg2NiSb after structural relaxation, from Alexandria via LeMat-Bulk.

CIF file:
```
data_Mg2NiSb
_cell_length_a 5.7806
_cell_length_b 8.2136
_cell_length_c 3.1815
_cell_angle_alpha 90.00
_cell_angle_beta 90.00
_cell_angle_gamma 90.00
_symmetry_space_group_name_H-M 'C m m m'
_symmetry_Int_Tables_number 65
_symmetry_space_group_name_Hall '-C 2 2'
loop_
_atom_site_label
_atom_site_type_symbol
_atom_site_fract_x
_atom_site_fract_y
_atom_site_fract_z
Mg1 Mg 0.2500 0.2500 0.0000
Ni1 Ni 0.0000 0.0000 0.5000
Sb1 Sb 0.0000 0.5000 0.5000
```

Formation energy from raw total energies, meV/atom: -30
Energy, eV/atom: -3.30

=====

[5]
The following is a PBE calculation of SnH2Pb2 after structural relaxation, from Alexandria via LeMat-Bulk.

CIF file:
```
data_SnH2Pb2
_cell_length_a 3.7090
_cell_length_b 3.7090
_cell_length_c 14.6845
_cell_angle_alpha 90.00
_cell_angle_beta 90.00
_cell_angle_gamma 90.00
_symmetry_space_group_name_H-M 'I 4/m m m'
_symmetry_Int_Tables_number 139
_symmetry_space_group_name_Hall '-I 4 2'
loop_
_atom_site_label
_atom_site_type_symbol
_atom_site_fract_x
_atom_site_fract_y
_atom_site_fract_z
Sn1 Sn 0.0000 0.0000 0.0000
H1 H 0.0000 0.5000 0.2500
Pb1 Pb 0.0000 0.0000 0.3502
```

Energy, eV/atom: -3.30

=====

[6]
The following is a PBE calculation of ScHgPb2 after structural relaxation, from Alexandria via LeMat-Bulk.

CIF file:
```
data_ScHgPb2
_cell_length_a 6.5278
_cell_length_b 10.1138
_cell_length_c 3.4823
_cell_angle_alpha 90.00
_cell_angle_beta 112.15
_cell_angle_gamma 90.00
_symmetry_space_group_name_H-M 'C 1 2/m 1'
_symmetry_Int_Tables_number 12
loop_
_symmetry_equiv_pos_as_xyz
'x,y,z'
'-x,-y,-z'
'-x,y,-z'
'x,-y,z'
'x+1/2,y+1/2,z'
'-x+1/2,-y+1/2,-z'
'-x+1/2,y+1/2,-z'
'x+1/2,-y+1/2,z'
loop_
_atom_site_label
_atom_site_type_symbol
_atom_site_fract_x
_atom_site_fract_y
_atom_site_fract_z
Sc1 Sc 0.0000 0.0000 0.0000
Hg1 Hg 0.0000 0.5000 0.0000
Pb1 Pb 0.2500 0.2500 0.5000
```

Formation energy, kJ/mol of formula units: -33
Energy, eV/atom: -3.60

=====

[7]
The following is a PBE calculation of Y2RuPt after structural relaxation, from Alexandria via LeMat-Bulk.

CIF file:
```
data_Y2RuPt
_cell_length_a 3.6921
_cell_length_b 3.6921
_cell_length_c 23.0121
_cell_angle_alpha 90.00
_cell_angle_beta 90.00
_cell_angle_gamma 120.00
_symmetry_space_group_name_H-M 'R -3 m'
_symmetry_Int_Tables_number 166
_symmetry_space_group_name_Hall '-R 3 2"'
loop_
_atom_site_label
_atom_site_type_symbol
_atom_site_fract_x
_atom_site_fract_y
_atom_site_fract_z
Y1 Y 0.0000 0.0000 0.2492
Ru1 Ru 0.0000 0.0000 0.5000
Pt1 Pt 0.0000 0.0000 0.0000
```

Formation energy, kJ/mol of formula units: -163
Energy, eV/atom: -7.48

=====

[8]
The following is a PBE calculation of ZnCdNi2H after structural relaxation, from Alexandria via LeMat-Bulk.

CIF file:
```
data_ZnCdNi2H
_cell_length_a 3.8139
_cell_length_b 3.8139
_cell_length_c 3.9267
_cell_angle_alpha 90.00
_cell_angle_beta 90.00
_cell_angle_gamma 90.00
_symmetry_space_group_name_H-M 'P 4/m m m'
_symmetry_Int_Tables_number 123
_symmetry_space_group_name_Hall '-P 4 2'
loop_
_atom_site_label
_atom_site_type_symbol
_atom_site_fract_x
_atom_site_fract_y
_atom_site_fract_z
Zn1 Zn 0.0000 0.0000 0.0000
Cd1 Cd 0.5000 0.5000 0.0000
Ni1 Ni 0.0000 0.5000 0.5000
H1 H 0.0000 0.0000 0.5000
```

Energy, eV/atom: -3.41